[1]
{
  "formula": "Ag2SnF6",
  "functional": "PBE",
  "state": "relaxed",
  "relative_energy_mev_per_atom": 0,
  "lattice_angstrom": [[5.053, 0.000, 0.000], [0.000, 5.058, 0.000], [-5.034, 0.000, 10.479]],
  "species": ["Ag", "Ag", "Ag", "Ag", "F", "F", "F", "F", "F", "F", "F", "F", "F", "F", "F", "F", "Sn", "Sn"],
  "fractional_positions": [[0.667, 0.996, 0.170], [0.333, 0.496, 0.330], [0.667, 0.504, 0.670], [0.333, 0.004, 0.830], [0.728, 0.220, 0.002], [0.332, 0.315, 0.139], [0.953, 0.686, 0.141], [0.047, 0.186, 0.359], [0.668, 0.815, 0.361], [0.272, 0.720, 0.498], [0.728, 0.280, 0.502], [0.332, 0.185, 0.639], [0.953, 0.814, 0.641], [0.047, 0.314, 0.859], [0.668, 0.685, 0.861], [0.272, 0.780, 0.998], [0.000, 0.500, 0.000], [0.000, 0.000, 0.500]]
}


[2]
{
  "formula": "AcIrW",
  "functional": "PBE",
  "state": "relaxed",
  "delta_e_f_ev_per_atom": 1.723,
  "lattice_angstrom": [[3.455, -2.632, 1.661], [0.232, -0.933, 4.550], [-0.885, -4.298, 1.540]],
  "species": ["Ac", "Ir", "W"],
  "fractional_positions": [[0.000, 0.000, 0.000], [0.250, 0.250, 0.250], [0.750, 0.750, 0.750]]
}


[3]
{
  "formula": "Zr5CdPb3",
  "functional": "PBE",
  "state": "relaxed",
  "total_energy_ha_per_atom": -0.2329,
  "lattice_angstrom": [[-0.123, 7.641, -4.568], [-7.648, -3.923, 2.320], [-0.017, 3.093, 5.173]],
  "species": ["Cd", "Cd", "Pb", "Pb", "Pb", "Pb", "Pb", "Pb", "Zr", "Zr", "Zr", "Zr", "Zr", "Zr", "Zr", "Zr", "Zr", "Zr"],
  "fractional_positions": [[0.000, 0.000, 0.000], [0.000, 0.000, 0.500], [0.622, 0.000, 0.250], [0.378, 0.378, 0.250], [0.000, 0.622, 0.250], [0.378, 0.000, 0.750], [0.000, 0.378, 0.750], [0.622, 0.622, 0.750], [0.667, 0.333, 0.000], [0.333, 0.667, 0.000], [0.283, 0.000, 0.250], [0.000, 0.283, 0.250], [0.717, 0.717, 0.250], [0.667, 0.333, 0.500], [0.333, 0.667, 0.500], [0.717, 0.000, 0.750], [0.283, 0.283, 0.750], [0.000, 0.717, 0.750]]
}


[4]
{
  "formula": "Al2Cu",
  "functional": "PBE",
  "state": "relaxed",
  "total_energy_ha_per_atom": -0.1329,
  "lattice_angstrom": [[-3.731, -0.388, 4.642], [1.207, -5.825, 0.483], [2.248, 0.620, 1.859]],
  "species": ["Al", "Al", "Al", "Al", "Cu", "Cu"],
  "fractional_positions": [[0.277, 0.277, 0.000], [0.723, 0.723, 0.000], [0.777, 0.223, 0.500], [0.223, 0.777, 0.500], [0.000, 0.000, 0.000], [0.500, 0.500, 0.500]]
}


[5]
{
  "formula": "GdSiTe",
  "functional": "PBE",
  "state": "relaxed",
  "total_energy_ha_per_atom": -0.1672,
  "lattice_angstrom": [[0.000, 3.556, 3.556], [3.556, 0.000, 3.556], [3.556, 3.556, 0.000]],
  "species": ["Gd", "Si", "Te"],
  "fractional_positions": [[0.000, 0.000, 0.000], [0.250, 0.250, 0.250], [0.750, 0.750, 0.750]]
}


[6]
{
  "formula": "KCuTe2PbSe",
  "functional": "PBE",
  "state": "relaxed",
  "total_energy_ha_per_atom": -0.1269,
  "lattice_angstrom": [[-3.856, 6.236, -0.344], [2.815, -5.227, 4.316], [9.952, 6.210, 1.029]],
  "species": ["Cu", "Cu", "K", "K", "Pb", "Pb", "Se", "Se", "Te", "Te", "Te", "Te"],
  "fractional_positions": [[0.931, 0.069, 0.250], [0.069, 0.931, 0.750], [0.209, 0.791, 0.250], [0.791, 0.209, 0.750], [0.500, 0.500, 0.000], [0.500, 0.500, 0.500], [0.518, 0.482, 0.250], [0.482, 0.518, 0.750], [0.836, 0.164, 0.048], [0.836, 0.164, 0.452], [0.164, 0.836, 0.548], [0.164, 0.836, 0.952]]
}


[7]
{
  "formula": "LaIrPdPb2",
  "functional": "PBE",
  "state": "relaxed",
  "total_energy_ha_per_atom": -0.2070,
  "lattice_angstrom": [[-4.705, -0.021, -0.698], [0.274, -4.427, -1.719], [-1.454, -3.944, 9.925]],
  "species": ["Ir", "Ir", "La", "La", "Pb", "Pb", "Pb", "Pb", "Pd", "Pd"],
  "fractional_positions": [[0.000, 0.500, 0.370], [0.500, 0.000, 0.630], [0.500, 0.000, 0.252], [0.000, 0.500, 0.748], [0.000, 0.500, 0.125], [0.000, 0.000, 0.500], [0.500, 0.500, 0.500], [0.500, 0.000, 0.875], [0.000, 0.000, 0.000], [0.500, 0.500, 0.000]]
}


[8]
{
  "formula": "KBIr",
  "functional": "PBE",
  "state": "relaxed",
  "total_energy_ha_per_atom": -0.1472,
  "lattice_angstrom": [[-1.092, -3.699, -1.676], [1.050, -3.580, 1.941], [-2.969, -2.346, 1.836]],
  "species": ["B", "Ir", "K"],
  "fractional_positions": [[0.000, 0.000, 0.000], [0.250, 0.250, 0.250], [0.750, 0.750, 0.750]]
}